{
  "formula": "Rb2Mo2H4C4O15",
  "functional": "GGA+U",
  "state": "relaxed",
  "lattice": [[7.861, 0.000, 0.000], [0.000, 14.442, 0.000], [-0.560, 0.000, 7.009]],
  "species": ["Rb", "Rb", "Rb", "Rb", "Mo", "Mo", "Mo", "Mo", "H", "H", "H", "H", "H", "H", "H", "H", "C", "C", "C", "C", "C", "C", "C", "C", "O", "O", "O", "O", "O", "O", "O", "O", "O", "O", "O", "O", "O", "O", "O", "O", "O", "O", "O", "O", "O", "O", "O", "O", "O", "O", "O", "O", "O", "O"],
  "frac_coords": [[0.191, 0.136, 0.379], [0.191, 0.364, 0.879], [0.809, 0.636, 0.121], [0.809, 0.864, 0.621], [0.107, 0.608, 0.613], [0.107, 0.892, 0.113], [0.893, 0.108, 0.887], [0.893, 0.392, 0.387], [0.260, 0.677, 0.273], [0.260, 0.823, 0.773], [0.295, 0.566, 0.276], [0.295, 0.934, 0.776], [0.705, 0.066, 0.224], [0.705, 0.434, 0.724], [0.740, 0.177, 0.227], [0.740, 0.323, 0.727], [0.457, 0.676, 0.750], [0.457, 0.824, 0.250], [0.478, 0.569, 0.738], [0.478, 0.931, 0.238], [0.522, 0.069, 0.762], [0.522, 0.431, 0.262], [0.543, 0.176, 0.750], [0.543, 0.324, 0.250], [0.000, 0.000, 0.000], [0.000, 0.500, 0.500], [0.026, 0.197, 0.973], [0.026, 0.303, 0.473], [0.058, 0.592, 0.847], [0.058, 0.908, 0.347], [0.221, 0.617, 0.322], [0.221, 0.883, 0.822], [0.304, 0.705, 0.690], [0.304, 0.795, 0.190], [0.343, 0.527, 0.665], [0.343, 0.973, 0.165], [0.385, 0.033, 0.702], [0.385, 0.467, 0.202], [0.425, 0.227, 0.690], [0.425, 0.273, 0.190], [0.575, 0.727, 0.810], [0.575, 0.773, 0.310], [0.615, 0.533, 0.798], [0.615, 0.967, 0.298], [0.657, 0.027, 0.835], [0.657, 0.473, 0.335], [0.696, 0.205, 0.810], [0.696, 0.295, 0.310], [0.779, 0.117, 0.178], [0.779, 0.383, 0.678], [0.942, 0.092, 0.653], [0.942, 0.408, 0.153], [0.974, 0.697, 0.527], [0.974, 0.803, 0.027]],
  "spacegroup": "No. 14",
  "e_tot_ev_per_atom": -6.600
}